Here is AgW2Br6O2 after structural relaxation from Alexandria. Energies are from GGA+U.

Cell lengths 8.0118, 8.0118, 12.1180 Å; angles 113.86, 113.86, 27.97 degrees
Fractional coordinates of all 11 atoms:
Ag 0.0000 0.0000 0.0000
W 0.7050 0.7050 0.3088
W 0.8518 0.8518 0.6635
Br 0.0322 0.0322 0.8009
Br 0.5214 0.5214 0.1715
Br 0.6681 0.6681 0.5065
Br 0.7477 0.7477 0.1314
Br 0.8036 0.8036 0.8397
Br 0.8875 0.8875 0.4660
O 0.2037 0.2037 0.3159
O 0.3512 0.3512 0.6575

Energy: -47.3 eV/f.u.
SG: Cm